No. 1
KZnGaAg2 | GGA-PBE | relaxed

Computed properties:
**Total moment**: 0.000 μB per atom
**Energy of formation**: 0.4 eV/f.u.

Cell and atoms, written as CIF:
```
data_KZnGaAg2
_symmetry_space_group_name_H-M 'P 4/m m m'
_symmetry_Int_Tables_number 123
_symmetry_space_group_name_Hall '-P 4 2'
_cell_length_a 5.143
_cell_length_b 5.143
_cell_length_c 4.808
_cell_angle_alpha 90.00
_cell_angle_beta 90.00
_cell_angle_gamma 90.00
loop_
_atom_site_label
_atom_site_type_symbol
_atom_site_fract_x
_atom_site_fract_y
_atom_site_fract_z
K1 K 0.000 0.000 0.000
Zn1 Zn 0.500 0.500 0.000
Ga1 Ga 0.500 0.500 0.500
Ag1 Ag 0.000 0.500 0.500
```

=====

No. 2
KZnGa2Ag | GGA-PBE | relaxed

Computed properties:
**Total moment**: 0.000 μB per atom
**Energy of formation**: 5.6 eV/f.u.

Cell and atoms, written as CIF:
```
data_KZnGa2Ag
_symmetry_space_group_name_H-M 'P 4/m m m'
_symmetry_Int_Tables_number 123
_symmetry_space_group_name_Hall '-P 4 2'
_cell_length_a 5.890
_cell_length_b 5.890
_cell_length_c 5.695
_cell_angle_alpha 90.00
_cell_angle_beta 90.00
_cell_angle_gamma 90.00
loop_
_atom_site_label
_atom_site_type_symbol
_atom_site_fract_x
_atom_site_fract_y
_atom_site_fract_z
K1 K 0.000 0.000 0.000
Zn1 Zn 0.000 0.000 0.500
Ga1 Ga 0.000 0.500 0.000
Ag1 Ag 0.500 0.500 0.500
```